A geometry-optimized CaLaPmPr structure, computed with PBE.

Cell lengths 5.944, 5.944, 5.944 Å; angles 60.00, 60.00, 60.00 degrees
Element x y z (fractional)
Ca 0.000 0.000 0.000
La 0.750 0.750 0.750
Pm 0.500 0.500 0.500
Pr 0.250 0.250 0.250

Results
E_form: 0.11 eV per atom
final energy: -4.0019 eV/atom
space group: No. 216
DOS at the Fermi energy: 1.793 states/eV per atom

A geometry-optimized RbPuPdO6 structure, computed with PBE.

Cell lengths 5.315, 5.315, 13.087 Å; angles 90.00, 90.00, 120.00 degrees
Element x y z (fractional)
Rb 0.000 0.000 0.000
Rb 0.000 0.000 0.500
Pu 0.333 0.667 0.250
Pu 0.667 0.333 0.750
Pd 0.333 0.667 0.750
Pd 0.667 0.333 0.250
O 0.003 0.366 0.164
O 0.003 0.637 0.336
O 0.363 0.366 0.336
O 0.363 0.997 0.164
O 0.366 0.003 0.664
O 0.366 0.363 0.836
O 0.634 0.637 0.164
O 0.634 0.997 0.336
O 0.637 0.003 0.836
O 0.637 0.634 0.664
O 0.997 0.363 0.664
O 0.997 0.634 0.836

Results
final energy: -7.1452 eV/atom
space group: No. 163

A geometry-optimized Ti5Nb4V structure, computed with PBE.

Cell lengths 6.370, 6.370, 7.359 Å; angles 115.51, 115.51, 43.66 degrees
Element x y z (fractional)
Ti 0.000 0.000 0.000
Ti 0.266 0.266 0.877
Ti 0.362 0.362 0.340
Ti 0.638 0.638 0.660
Ti 0.734 0.734 0.123
Nb 0.180 0.180 0.427
Nb 0.471 0.471 0.785
Nb 0.529 0.529 0.215
Nb 0.820 0.820 0.573
V 0.000 0.000 0.500

Results
E_form: 0.30 eV per atom
final energy: -8.5846 eV/atom
space group: No. 12
DOS at the Fermi energy: 1.469 states/eV per atom

A geometry-optimized RbSn structure, computed with PBE.

Cell lengths 9.366, 9.366, 9.366 Å; angles 109.47, 109.47, 109.47 degrees
Element x y z (fractional)
Rb 0.000 0.000 0.583
Rb 0.000 0.583 0.000
Rb 0.417 0.417 0.417
Rb 0.583 0.000 0.000
Sn 0.000 0.000 0.195
Sn 0.000 0.195 0.000
Sn 0.195 0.000 0.000
Sn 0.805 0.805 0.805

Results
E_form: -0.15 eV per atom
final energy: -2.6364 eV/atom
space group: No. 217

A geometry-optimized NbInSn2 structure, computed with PBE.

Cell lengths 5.526, 5.526, 3.639 Å; angles 103.32, 103.32, 113.55 degrees
Element x y z (fractional)
Nb 0.000 0.000 0.000
In 0.566 0.566 0.244
Sn 0.425 0.990 0.694
Sn 0.990 0.425 0.694

Results
E_form: 0.07 eV per atom
final energy: -5.1345 eV/atom
space group: No. 8
DOS at the Fermi energy: 0.583 states/eV per atom

A geometry-optimized LaTl2AgPb structure, computed with PBE.

Cell lengths 5.843, 5.843, 6.245 Å; angles 90.00, 90.00, 90.00 degrees
Element x y z (fractional)
La 0.000 0.000 0.000
Tl 0.000 0.500 0.500
Tl 0.500 0.000 0.500
Ag 0.500 0.500 0.000
Pb 0.000 0.000 0.500

Results
E_form: 0.50 eV per atom
final energy: -2.7415 eV/atom
space group: No. 123
DOS at the Fermi energy: 0.892 states/eV per atom

A geometry-optimized K4Ta5 structure, computed with PBE.

Cell lengths 10.322, 10.322, 10.322 Å; angles 91.61, 91.61, 160.69 degrees
Element x y z (fractional)
K 0.000 0.305 0.305
K 0.000 0.695 0.695
K 0.305 0.000 0.305
K 0.695 0.000 0.695
Ta 0.000 0.000 0.000
Ta 0.400 0.400 0.800
Ta 0.400 0.600 0.000
Ta 0.600 0.400 0.000
Ta 0.600 0.600 0.200

Results
E_form: 1.17 eV per atom
final energy: -5.9028 eV/atom
space group: No. 139
DOS at the Fermi energy: 1.374 states/eV per atom

A geometry-optimized RePd3C structure, computed with PBE.

Cell lengths 4.802, 4.802, 4.802 Å; angles 90.00, 90.00, 90.00 degrees
Element x y z (fractional)
Re 0.000 0.000 0.000
Pd 0.000 0.000 0.500
Pd 0.000 0.500 0.000
Pd 0.500 0.000 0.000
C 0.500 0.500 0.500

Results
E_form: 2.54 eV per atom
final energy: -4.9093 eV/atom
space group: No. 221
DOS at the Fermi energy: 1.281 states/eV per atom

A geometry-optimized Tb7Ho12Mg structure, computed with PBE.

Cell lengths 10.367, 10.367, 10.367 Å; angles 109.47, 109.47, 109.47 degrees
Element x y z (fractional)
Tb 0.000 0.000 0.500
Tb 0.000 0.500 0.000
Tb 0.000 0.500 0.500
Tb 0.500 0.000 0.000
Tb 0.500 0.000 0.500
Tb 0.500 0.500 0.000
Tb 0.500 0.500 0.500
Ho 0.096 0.737 0.359
Ho 0.263 0.359 0.622
Ho 0.263 0.641 0.904
Ho 0.359 0.096 0.737
Ho 0.359 0.622 0.263
Ho 0.378 0.737 0.641
Ho 0.622 0.263 0.359
Ho 0.641 0.378 0.737
Ho 0.641 0.904 0.263
Ho 0.737 0.359 0.096
Ho 0.737 0.641 0.378
Ho 0.904 0.263 0.641
Mg 0.000 0.000 0.000

Results
E_form: 0.84 eV per atom
final energy: -3.6101 eV/atom
space group: No. 204
DOS at the Fermi energy: 1.612 states/eV per atom

A geometry-optimized Ag4TeP structure, computed with PBE.

Cell lengths 5.557, 5.557, 5.557 Å; angles 60.00, 60.00, 60.00 degrees
Element x y z (fractional)
Ag 0.125 0.125 0.125
Ag 0.125 0.125 0.626
Ag 0.125 0.626 0.125
Ag 0.626 0.125 0.125
Te 0.500 0.500 0.500
P 0.750 0.750 0.750

Results
final energy: -2.9241 eV/atom
space group: No. 216
DOS at the Fermi energy: 0.483 states/eV per atom

A geometry-optimized GdLuAlAu structure, computed with PBE.

Cell lengths 5.103, 5.103, 5.103 Å; angles 60.00, 60.00, 60.00 degrees
Element x y z (fractional)
Gd 0.000 0.000 0.000
Lu 0.500 0.500 0.500
Al 0.250 0.250 0.250
Au 0.750 0.750 0.750

Results
E_form: -0.57 eV per atom
final energy: -6.9718 eV/atom
space group: No. 216
DOS at the Fermi energy: 0.694 states/eV per atom

A geometry-optimized Nd12TmSc3 structure, computed with PBE.

Cell lengths 5.073, 5.073, 20.278 Å; angles 90.00, 90.00, 90.00 degrees
Element x y z (fractional)
Nd 0.000 0.000 0.000
Nd 0.000 0.000 0.248
Nd 0.000 0.000 0.500
Nd 0.000 0.000 0.752
Nd 0.000 0.500 0.124
Nd 0.000 0.500 0.372
Nd 0.000 0.500 0.628
Nd 0.000 0.500 0.876
Nd 0.500 0.000 0.124
Nd 0.500 0.000 0.372
Nd 0.500 0.000 0.628
Nd 0.500 0.000 0.876
Tm 0.500 0.500 0.500
Sc 0.500 0.500 0.000
Sc 0.500 0.500 0.248
Sc 0.500 0.500 0.752

Results
E_form: 0.03 eV per atom
final energy: -5.0113 eV/atom
space group: No. 123
DOS at the Fermi energy: 1.335 states/eV per atom